! Os2PdPt | Alexandria | GGA-PBE | optimized geometry; values from VASP
! formation energy = 1.607 eV per atom
&SYSTEM
  ibrav = 0, nat = 8, ntyp = 3
/
ATOMIC_SPECIES
Os 190.23 Os.upf
Pd 106.42 Pd.upf
Pt 195.08 Pt.upf
ATOMIC_POSITIONS angstrom
Os -3.976 0.257 2.564
Pd -2.356 -2.535 6.013
Os -1.180 -2.403 3.874
Pt -5.106 0.118 4.695
Pt 0.000 0.000 0.000
Pd -2.849 -1.876 2.169
Os -3.460 -0.387 6.390
Os -6.310 -2.300 8.587
CELL_PARAMETERS angstrom
-5.599 0.778 0.851
-0.099 -4.530 3.486
-1.764 1.335 6.371

! CuOs2Cl | Alexandria | GGA-PBE | optimized geometry; values from VASP
! E_form (uncorrected) = 4.624 eV per formula unit
! ΔE to the lowest computed polymorph = 807 meV per atom
&SYSTEM
  ibrav = 0, nat = 4, ntyp = 3
/
ATOMIC_SPECIES
Os 190.23 Os.upf
Cu 63.55 Cu.upf
Cl 35.45 Cl.upf
ATOMIC_POSITIONS angstrom
Os 1.146 -1.463 3.143
Cu 0.494 -3.793 3.801
Cl -0.541 -2.471 0.962
Os 1.959 -2.501 5.373
CELL_PARAMETERS angstrom
-2.800 -1.044 0.535
0.684 -2.577 -1.449
2.070 -2.643 5.677

! Hf3Zn4Ga2 | Alexandria | GGA-PBE | optimized geometry; values from VASP
! formation energy = -0.336 eV per atom
&SYSTEM
  ibrav = 0, nat = 9, ntyp = 3
/
ATOMIC_SPECIES
Hf 178.49 Hf.upf
Zn 65.41 Zn.upf
Ga 69.72 Ga.upf
ATOMIC_POSITIONS angstrom
Hf 0.033 -0.794 3.056
Zn -2.381 0.273 1.702
Ga -2.317 -0.543 4.813
Zn -4.723 0.124 5.006
Hf -4.112 -1.826 2.866
Zn -1.699 -2.893 4.220
Zn 0.643 -2.744 0.916
Ga -1.762 -2.076 1.109
Hf 0.000 0.000 0.000
CELL_PARAMETERS angstrom
-1.197 -4.014 -1.029
4.234 0.220 3.256
-7.117 1.175 3.695

! Li12S5Br3 | Alexandria | GGA-PBE | optimized geometry; values from VASP
! E_form (uncorrected) = -22.984 eV per formula unit
&SYSTEM
  ibrav = 0, nat = 80, ntyp = 3
/
ATOMIC_SPECIES
S 32.06 S.upf
Br 79.90 Br.upf
Li 6.94 Li.upf
ATOMIC_POSITIONS angstrom
S 3.240 9.165 2.646
Br 7.561 3.819 1.323
Li 2.893 4.536 1.002
Li 4.196 2.261 6.154
Li -0.400 0.928 2.121
Li 9.374 6.030 1.864
Li 5.472 9.233 3.171
Li 7.633 -4.307 9.464
Li 3.921 -1.682 3.427
S 3.240 2.291 1.323
S 2.160 3.055 5.292
S 5.401 5.346 3.969
Li -2.285 -4.966 10.327
Li 1.760 4.428 7.156
Li 2.560 1.682 3.427
Br -5.401 6.110 7.937
Li -1.152 -3.123 7.413
S -2.160 -3.055 5.292
Li 8.517 1.144 0.257
Li 4.721 5.182 8.462
Li 0.124 3.850 4.429
Li 2.036 8.371 4.429
Br 9.721 0.000 2.646
S 5.401 -3.819 9.260
Br -3.240 -2.291 9.260
Li -4.445 8.816 4.172
Br 1.080 -0.764 3.969
Li 2.893 7.765 0.863
Li -1.760 -0.754 5.035
Li 5.053 -1.574 9.581
Li -0.733 7.685 1.002
S 4.321 -3.055 5.292
Li -3.921 5.356 5.548
Li 5.472 1.803 1.119
Li 1.428 1.574 9.581
S -2.160 6.110 0.000
Li -1.152 4.307 9.464
Li -1.008 7.295 4.290
Li -3.312 10.418 1.119
Li 1.428 -1.655 9.721
S -1.080 9.929 1.323
Li -1.428 -0.080 8.719
Br 1.080 6.110 2.646
Li 2.285 -2.261 6.154
S -1.080 0.764 6.615
Li 0.400 7.793 7.156
Li 8.765 -2.705 6.411
S -3.240 6.874 3.969
Li 8.241 0.754 5.035
Br 3.240 6.874 6.615
S 1.080 3.819 9.260
Li 6.081 6.864 5.548
Li -2.560 7.039 8.462
Li 5.053 1.655 9.721
Li 5.748 6.191 1.864
Li 5.329 -1.184 6.294
Br 3.240 0.000 7.937
Li 6.605 11.076 0.257
Br -3.240 2.291 9.260
Li 6.605 3.405 4.172
S 7.561 -0.764 6.615
Li 1.152 1.184 6.294
Li -0.733 4.455 0.863
Li 6.881 -0.928 2.121
Br 7.561 8.402 1.323
S 6.481 0.000 0.000
Li -2.285 2.705 6.411
S -1.080 3.055 2.646
S 4.321 6.110 0.000
S 1.080 -3.055 7.937
Li 3.169 4.926 4.290
Li -5.053 0.080 8.719
Br -1.080 5.346 6.615
S 0.000 0.000 0.000
S 5.401 3.055 7.937
Br 5.401 0.764 3.969
Li -5.329 3.123 7.413
S -4.321 3.055 5.292
Li -4.196 4.966 10.327
Li 9.650 2.987 3.171
CELL_PARAMETERS angstrom
12.962 0.000 0.000
-4.321 12.221 0.000
-4.321 -6.110 10.583

! Nd8Bi3Te4Se | Alexandria | GGA-PBE | optimized geometry; values from VASP
! E_form (uncorrected) = -20.850 eV per formula unit
&SYSTEM
  ibrav = 0, nat = 16, ntyp = 4
/
ATOMIC_SPECIES
Bi 208.98 Bi.upf
Se 78.96 Se.upf
Te 127.60 Te.upf
Nd 144.24 Nd.upf
ATOMIC_POSITIONS angstrom
Bi 0.228 -4.078 1.922
Se -1.782 -3.583 -2.090
Te 0.000 0.000 0.000
Bi 2.700 -3.169 -1.745
Te 2.010 -0.496 4.012
Te 4.482 0.414 0.345
Te -2.472 -0.910 3.667
Nd 2.355 -1.833 1.133
Nd -6.396 -6.682 2.488
Bi -4.254 -4.492 1.576
Nd 0.476 -5.340 -1.004
Nd 6.852 -1.475 1.355
Nd -1.899 -6.324 2.710
Nd -3.818 -5.733 -1.336
Nd -0.020 -2.817 4.847
Nd 4.274 -2.423 5.180
CELL_PARAMETERS angstrom
-4.945 -1.819 7.333
-3.564 -7.166 -4.181
8.965 0.828 0.691

! Na2SiW | Alexandria | GGA-PBE | optimized geometry; values from VASP
! E_form (uncorrected) = 4.701 eV per formula unit
&SYSTEM
  ibrav = 0, nat = 8, ntyp = 3
/
ATOMIC_SPECIES
Na 22.99 Na.upf
W 183.84 W.upf
Si 28.09 Si.upf
ATOMIC_POSITIONS angstrom
Na 2.326 6.213 0.626
W 0.000 0.000 0.000
W 8.284 4.142 1.253
Na 10.355 10.100 1.879
Na 6.213 6.468 1.879
Si 4.142 4.142 0.000
Na 5.958 2.071 0.626
Si 4.142 8.284 1.253
CELL_PARAMETERS angstrom
8.284 0.000 0.000
0.000 8.284 0.000
4.142 4.142 2.505

! TbSm9Tl2 | Alexandria | GGA-PBE | optimized geometry; values from VASP
! formation energy = -0.120 eV per atom
&SYSTEM
  ibrav = 0, nat = 12, ntyp = 3
/
ATOMIC_SPECIES
Sm 150.36 Sm.upf
Tl 204.38 Tl.upf
Tb 158.93 Tb.upf
ATOMIC_POSITIONS angstrom
Sm -4.536 -6.581 -0.670
Sm -0.654 -3.438 -0.897
Tl -4.021 -3.256 0.236
Tl -7.822 -6.334 0.459
Sm -10.524 -7.212 -1.683
Sm -8.417 -9.724 -0.442
Tb 0.000 0.000 0.000
Sm -2.761 -0.926 -2.138
Sm -6.642 -4.069 -1.910
Sm 0.666 -1.059 -3.274
Sm -3.325 -4.291 -3.040
Sm -7.187 -7.418 -2.814
CELL_PARAMETERS angstrom
-1.441 1.452 -4.515
2.772 -3.571 -2.033
-11.843 -9.590 0.694

! TbNd2Ni | Alexandria | GGA-PBE | optimized geometry; values from VASP
! formation energy = -0.029 eV per atom
! ΔE to the lowest computed polymorph = 158 meV per atom
&SYSTEM
  ibrav = 0, nat = 4, ntyp = 3
/
ATOMIC_SPECIES
Nd 144.24 Nd.upf
Tb 158.93 Tb.upf
Ni 58.69 Ni.upf
ATOMIC_POSITIONS angstrom
Nd 0.246 -2.335 1.516
Tb 0.879 -4.767 4.182
Ni -0.586 -4.399 -0.164
Nd 2.107 -2.802 7.038
CELL_PARAMETERS angstrom
-2.247 -3.082 0.497
1.363 -3.516 -0.757
2.648 -2.937 8.641